First-principles (GGA-PBE) data for crystalline DySnHg2 at its relaxed geometry, as listed in the Alexandria database.

Cell: 4.841 4.497 4.497 Å, 90.00 90.00 90.00°
Fractional positions:
Dy 0.500 0.000 0.000
Hg 0.000 0.500 0.000
Hg 0.000 0.000 0.500
Sn 0.500 0.500 0.500

Results
D(E_F) ... 1.71 states/eV per cell
Volume ... 24.47 A^3/atom
Size of the total moment ... 0.0 Bohr magnetons per cell
ΔE_f ... -409 meV/atom
VASP energy ... -10.84 eV per formula unit

=====

First-principles (GGA-PBE) data for crystalline MgCo2Au at its relaxed geometry, as listed in the Alexandria database.

Cell: 3.288 3.288 5.374 Å, 90.00 90.00 90.00°
Fractional positions:
Co 0.000 0.000 0.491
Co 0.000 0.000 0.009
Au 0.500 0.500 0.750
Mg 0.500 0.500 0.250

Results
D(E_F) ... 5.48 states/eV per cell
Volume ... 14.52 A^3/atom
Size of the total moment ... 3.2 Bohr magnetons per cell
ΔE_f ... 214 meV/atom
VASP energy ... -18.23 eV per formula unit

=====

First-principles (GGA-PBE) data for crystalline Ce5AlSn4 at its relaxed geometry, as listed in the Alexandria database.

Cell: 4.133 4.133 15.760 Å, 90.00 90.00 90.00°
Fractional positions:
Sn 0.000 0.000 0.400
Sn 0.000 0.000 0.190
Sn 0.000 0.000 0.810
Sn 0.000 0.000 0.600
Ce 0.500 0.500 0.500
Ce 0.500 0.500 0.091
Ce 0.500 0.500 0.702
Ce 0.500 0.500 0.909
Ce 0.500 0.500 0.298
Al 0.000 0.000 0.000

Results
D(E_F) ... 23.86 states/eV per cell
Volume ... 26.92 A^3/atom
Size of the total moment ... 4.6 Bohr magnetons per cell
ΔE_f ... -532 meV/atom
VASP energy ... -54.74 eV per formula unit

=====

First-principles (GGA-PBE) data for crystalline GdTh2Ge at its relaxed geometry, as listed in the Alexandria database.

Cell: 4.830 4.748 4.748 Å, 90.00 90.00 90.00°
Fractional positions:
Ge 0.500 0.500 0.500
Th 0.000 0.500 0.000
Th 0.000 0.000 0.500
Gd 0.500 0.000 0.000

Results
D(E_F) ... 4.54 states/eV per cell
Volume ... 27.22 A^3/atom
Size of the total moment ... 7.2 Bohr magnetons per cell
ΔE_f ... -268 meV/atom
VASP energy ... -34.61 eV per formula unit

=====

First-principles (GGA-PBE) data for crystalline DyYMgZn at its relaxed geometry, as listed in the Alexandria database.

Cell: 3.592 3.592 7.801 Å, 90.00 90.00 90.00°
Fractional positions:
Y 0.000 0.000 0.831
Mg 0.500 0.500 0.108
Zn 0.500 0.500 0.606
Dy 0.000 0.000 0.384

Results
D(E_F) ... 4.63 states/eV per cell
Volume ... 25.17 A^3/atom
Size of the total moment ... 0.0 Bohr magnetons per cell
Distance to the lowest polymorph of the same formula ... 0 meV per atom
ΔE_f ... -220 meV/atom
VASP energy ... -14.81 eV per formula unit

=====

First-principles (GGA-PBE) data for crystalline GdHoZnSn at its relaxed geometry, as listed in the Alexandria database.

Cell: 5.201 5.201 5.201 Å, 60.00 60.00 60.00°
Fractional positions:
Gd 0.500 0.500 0.500
Ho 0.000 0.000 0.000
Sn 0.250 0.250 0.250
Zn 0.750 0.750 0.750

Results
D(E_F) ... 2.97 states/eV per cell
Volume ... 24.88 A^3/atom
Size of the total moment ... 7.3 Bohr magnetons per cell
ΔE_f ... -502 meV/atom
VASP energy ... -25.95 eV per formula unit

=====

First-principles (GGA-PBE) data for crystalline Li2LaY2Si2 at its relaxed geometry, as listed in the Alexandria database.

Cell: 4.515 4.515 9.431 Å, 76.15 76.15 60.00°
Fractional positions:
Li 0.409 0.409 0.774
Li 0.591 0.591 0.226
Y 0.871 0.871 0.387
Y 0.129 0.129 0.613
Si 0.257 0.257 0.230
Si 0.743 0.743 0.770
La 0.000 0.000 0.000

Results
D(E_F) ... 4.01 states/eV per cell
Volume ... 22.86 A^3/atom
Energy relative to the elements, uncorrected ... -3.0 eV per formula unit
Size of the total moment ... 0.0 Bohr magnetons per cell
VASP energy ... -35.48 eV per formula unit

=====

First-principles (GGA-PBE) data for crystalline CaZnCr2 at its relaxed geometry, as listed in the Alexandria database.

Cell: 4.238 4.238 5.944 Å, 69.15 69.15 60.00°
Fractional positions:
Cr 0.058 0.058 0.827
Cr 0.732 0.732 0.804
Ca 0.254 0.254 0.237
Zn 0.456 0.456 0.632

Results
D(E_F) ... 0.84 states/eV per cell
Volume ... 21.07 A^3/atom
Size of the total moment ... 0.0 Bohr magnetons per cell
ΔE_f ... 278 meV/atom
VASP energy ... -21.41 eV per formula unit

=====

> Among the records above, which one has the lowest D(E_F)?

CaZnCr2

=====

> The highest D(E_F) belongs to which entry?

Ce5AlSn4

=====

> What is the VASP energy in the fifth record?

-14.81 eV per formula unit

=====

> The lowest volume belongs to which entry?

MgCo2Au